Entry 1:
# UZn4Sb

A relaxed structure of UZn4Sb (PBE, the Alexandria database).

The structure in CIF format:
```
data_UZn4Sb
_space_group_name_H-M_alt 'F -4 3 m'
_space_group_IT_number 216
_space_group_name_Hall 'F -4 2 3'
_cell_length_a 7.748
_cell_length_b 7.748
_cell_length_c 7.748
_cell_angle_alpha 90.00
_cell_angle_beta 90.00
_cell_angle_gamma 90.00
loop_
_atom_site_label
_atom_site_fract_x
_atom_site_fract_y
_atom_site_fract_z
U1 0.000 0.000 0.000
Zn1 0.125 0.125 0.375
Sb1 0.250 0.250 0.750
```

=====

Entry 2:
# UZn2Sb

A relaxed structure of UZn2Sb (PBE, the Alexandria database).

The structure in CIF format:
```
data_UZn2Sb
_space_group_name_H-M_alt 'P 4/m m m'
_space_group_IT_number 123
_space_group_name_Hall '-P 4 2'
_cell_length_a 4.328
_cell_length_b 4.328
_cell_length_c 4.532
_cell_angle_alpha 90.00
_cell_angle_beta 90.00
_cell_angle_gamma 90.00
loop_
_atom_site_label
_atom_site_fract_x
_atom_site_fract_y
_atom_site_fract_z
U1 0.000 0.000 0.000
Zn1 0.000 0.500 0.500
Sb1 0.500 0.500 0.000
```

=====

Entry 3:
# Zr2USb

A relaxed structure of Zr2USb (PBE, the Alexandria database).

The structure in CIF format:
```
data_Zr2USb
_space_group_name_H-M_alt 'R -3 m'
_space_group_IT_number 166
_space_group_name_Hall '-R 3 2"'
_cell_length_a 3.3484
_cell_length_b 3.3484
_cell_length_c 29.3821
_cell_angle_alpha 90.00
_cell_angle_beta 90.00
_cell_angle_gamma 120.00
loop_
_atom_site_label
_atom_site_fract_x
_atom_site_fract_y
_atom_site_fract_z
Zr1 0.0000 0.0000 0.2464
U1 0.0000 0.0000 0.0000
Sb1 0.0000 0.0000 0.5000
```

=====

Entry 4:
# Zr2USb

A relaxed structure of Zr2USb (PBE, the Alexandria database).

The structure in CIF format:
```
data_Zr2USb
_space_group_name_H-M_alt 'P 4/m m m'
_space_group_IT_number 123
_space_group_name_Hall '-P 4 2'
_cell_length_a 4.680
_cell_length_b 4.680
_cell_length_c 4.113
_cell_angle_alpha 90.00
_cell_angle_beta 90.00
_cell_angle_gamma 90.00
loop_
_atom_site_label
_atom_site_fract_x
_atom_site_fract_y
_atom_site_fract_z
Zr1 0.000 0.500 0.000
U1 0.000 0.000 0.500
Sb1 0.500 0.500 0.500
```

=====

Energy relative to the elements, uncorrected, record by record: 0.9; -0.3; 0.3; -0.8 eV/f.u.